No. 1
Density functional theory data (PBE) for a geometry-optimized Pr2Nd3Dy5 structure.

a b c (Å): 10.748 16.588 9.317
angles (deg): 90.00 125.21 90.00
Space group C2/c (No. 15)
Unique sites:
Pr (0.146, 0.122, 0.044) [8 per cell]
Nd (0.000, 0.271, 0.750) [4 per cell]
Nd (0.149, 0.377, 0.545) [8 per cell]
Dy (0.000, 0.028, 0.250) [4 per cell]
Dy (0.000, 0.227, 0.250) [4 per cell]
Dy (0.000, 0.473, 0.750) [4 per cell]
Dy (0.248, 0.384, 0.251) [8 per cell]

Calculated values
Energy above the most stable polymorph in this dataset in eV per formula unit: 1.15
Electronic total energy in eV/cell: -180.4
Total moment in μB per formula unit: 0.00
Crystal system: monoclinic
D(E_F) in states/eV/atom: 1.580
Energy of formation from the pure elements in eV per formula unit: 1.8


No. 2
Density functional theory data (PBE) for a geometry-optimized Li2PdPb structure.

a b c (Å): 6.522 6.522 6.522
angles (deg): 90.00 90.00 90.00
Space group F-43m (No. 216)
Unique sites:
Li (0.000, 0.000, 0.000) [4 per cell]
Li (0.250, 0.250, 0.250) [4 per cell]
Pd (0.250, 0.250, 0.750) [4 per cell]
Pb (0.000, 0.000, 0.500) [4 per cell]

Calculated values
Electronic total energy in eV/cell: -57.8
Total moment in μB per formula unit: 0.00
Crystal system: cubic
D(E_F) in states/eV/atom: 0.383
Energy of formation from the pure elements in eV per formula unit: -1.7


No. 3
Density functional theory data (PBE) for a geometry-optimized Ho5BiS4 structure.

a b c (Å): 13.265 3.983 9.868
angles (deg): 90.00 119.34 90.00
Space group C2/m (No. 12)
Unique sites:
Ho (0.000, 0.000, 0.000) [2 per cell]
Ho (0.109, 0.500, 0.379) [4 per cell]
Ho (0.209, 0.000, 0.822) [4 per cell]
Bi (0.000, 0.000, 0.500) [2 per cell]
S (0.093, 0.500, 0.897) [4 per cell]
S (0.206, 0.000, 0.291) [4 per cell]

Calculated values
Electronic total energy in eV/cell: -120.2
Energy relative to the elements, uncorrected in eV/atom: -1.68
Total moment in μB per formula unit: 0.00
Crystal system: monoclinic
D(E_F) in states/eV/atom: 0.295


No. 4
Density functional theory data (PBE) for a geometry-optimized Ac2ErMgS6 structure.

a b c (Å): 6.658 7.524 11.793
angles (deg): 90.00 123.04 90.00
Space group P2_1/c (No. 14)
Unique sites:
Ac (0.212, 0.096, 0.248) [4 per cell]
Er (0.500, 0.000, 0.000) [2 per cell]
Mg (0.000, 0.000, 0.500) [2 per cell]
S (0.117, 0.190, 0.945) [4 per cell]
S (0.265, 0.686, 0.946) [4 per cell]
S (0.353, 0.030, 0.742) [4 per cell]

Calculated values
Electronic total energy in eV/cell: -114.7
Energy relative to the elements, uncorrected in eV/atom: -1.82
Total moment in μB per formula unit: 0.00
Crystal system: monoclinic
D(E_F) in states/eV/atom: 0.866


No. 5
Density functional theory data (PBE) for a geometry-optimized Ba4Th3AlP8 structure.

a b c (Å): 14.793 8.531 8.833
angles (deg): 90.00 123.92 90.00
Space group C2/m (No. 12)
Unique sites:
Ba (0.000, 0.000, 0.000) [2 per cell]
Ba (0.000, 0.500, 0.000) [2 per cell]
Ba (0.250, 0.250, 0.000) [4 per cell]
Th (0.000, 0.000, 0.500) [2 per cell]
Th (0.250, 0.250, 0.500) [4 per cell]
Al (0.000, 0.500, 0.500) [2 per cell]
P (0.013, 0.260, 0.297) [8 per cell]
P (0.229, 0.500, 0.704) [4 per cell]
P (0.237, 0.000, 0.711) [4 per cell]

Calculated values
Electronic total energy in eV/cell: -186.4
Total moment in μB per formula unit: 0.00
Crystal system: monoclinic
D(E_F) in states/eV/atom: 0.960
Energy of formation from the pure elements in eV per formula unit: -16.2


No. 6
Density functional theory data (PBE) for a geometry-optimized SmY3Pt2 structure.

a b c (Å): 4.811 8.882 7.208
angles (deg): 90.00 90.00 90.00
Space group Pmc2_1 (No. 26)
Unique sites:
Sm (0.000, 0.083, 0.000) [2 per cell]
Y (0.000, 0.333, 0.634) [2 per cell]
Y (0.500, 0.170, 0.348) [2 per cell]
Y (0.500, 0.419, 0.981) [2 per cell]
Pt (0.000, 0.344, 0.233) [2 per cell]
Pt (0.500, 0.160, 0.748) [2 per cell]

Calculated values
Energy above the most stable polymorph in this dataset in eV per formula unit: 0.00
Electronic total energy in eV/cell: -83.4
Total moment in μB per formula unit: 0.00
Crystal system: orthorhombic
D(E_F) in states/eV/atom: 1.036
Energy of formation from the pure elements in eV per formula unit: -5.5


No. 7
Density functional theory data (PBE) for a geometry-optimized KPa2GaO8 structure.

a b c (Å): 5.0909 5.0909 8.1149
angles (deg): 90.00 90.00 120.00
Space group P-3m1 (No. 164)
Unique sites:
K (0.0000, 0.0000, 0.0000) [1 per cell]
Pa (0.3333, 0.6667, 0.3581) [2 per cell]
Ga (0.0000, 0.0000, 0.5000) [1 per cell]
O (0.1772, 0.3544, 0.6359) [6 per cell]
O (0.3333, 0.6667, 0.1273) [2 per cell]

Calculated values
Electronic total energy in eV/cell: -89.9
Energy relative to the elements, uncorrected in eV/atom: -2.26
Total moment in μB per formula unit: 1.94
Crystal system: trigonal
D(E_F) in states/eV/atom: 0.225


No. 8
Density functional theory data (PBE) for a geometry-optimized Cr2CdBr structure.

a b c (Å): 7.094 7.094 7.094
angles (deg): 90.00 90.00 90.00
Space group F-43m (No. 216)
Unique sites:
Cr (0.000, 0.000, 0.000) [4 per cell]
Cr (0.250, 0.250, 0.250) [4 per cell]
Cd (0.250, 0.250, 0.750) [4 per cell]
Br (0.000, 0.000, 0.500) [4 per cell]

Calculated values
Energy above the most stable polymorph in this dataset in eV per formula unit: 2.60
Electronic total energy in eV/cell: -73.0
Energy relative to the elements, uncorrected in eV/atom: 0.90
Total moment in μB per formula unit: 9.05
Crystal system: cubic
D(E_F) in states/eV/atom: 0.324


Q: Which value of total moment does entry 7 give?
A: 1.94 μB per formula unit


Q: Look up the total moment of the eighth one.
A: 9.05 μB per formula unit


Copy entry 3 word for word.
Density functional theory data (PBE) for a geometry-optimized Ho5BiS4 structure.

a b c (Å): 13.265 3.983 9.868
angles (deg): 90.00 119.34 90.00
Space group C2/m (No. 12)
Unique sites:
Ho (0.000, 0.000, 0.000) [2 per cell]
Ho (0.109, 0.500, 0.379) [4 per cell]
Ho (0.209, 0.000, 0.822) [4 per cell]
Bi (0.000, 0.000, 0.500) [2 per cell]
S (0.093, 0.500, 0.897) [4 per cell]
S (0.206, 0.000, 0.291) [4 per cell]

Calculated values
Electronic total energy in eV/cell: -120.2
Energy relative to the elements, uncorrected in eV/atom: -1.68
Total moment in μB per formula unit: 0.00
Crystal system: monoclinic
D(E_F) in states/eV/atom: 0.295


Q: Look up the electronic total energy of the sixth one.
A: -83.4 eV/cell